VASP calculation (PBE) on a relaxed structure of TeAu2C.

Properties
**SG**: No. 225
**Formation energy from raw total energies**: 1.551 eV per atom
**Theoretical density**: 12.141 g cm⁻³

Cell: 4.6906 4.6906 4.6906 Å, 60.00 60.00 60.00°
Positions (direct):
Te 0.0000 0.0000 0.0000
Au 0.2500 0.2500 0.2500
Au 0.7500 0.7500 0.7500
C 0.5000 0.5000 0.5000